First-principles (GGA+U) data for a relaxed CrTeAsF2 crystal, as listed in Alexandria via LeMat-Bulk.

## Properties
N(E_F)   2.28 states/eV/f.u.
Energy relative to the lowest polymorph listed for this composition   0.000 eV per atom
Energy   -5.17 eV/atom

Cell: 3.975 3.975 6.064 Å, 90.00 90.00 90.00°
Positions (direct):
Cr: 0.000 0.000 0.000
Te: 0.500 0.500 0.500
As: 0.000 0.000 0.500
F: 0.000 0.500 0.000
F: 0.500 0.000 0.000